# BaCdGeRh | Alexandria via LeMat-Bulk | PBE-GGA | optimized geometry
data_BaCdGeRh
_chemical_formula_sum 'Ba2 Cd2 Ge2 Rh2'
_symmetry_space_group_name_H-M 'P 4/n m m'
_symmetry_Int_Tables_number 129
_cell_length_a 4.205
_cell_length_b 4.205
_cell_length_c 12.453
_cell_angle_alpha 90.00
_cell_angle_beta 90.00
_cell_angle_gamma 90.00
loop_
_symmetry_equiv_pos_as_xyz
'x,y,z'
'-x,-y,-z'
'-y+1/2,x,z'
'y+1/2,-x,-z'
'-x+1/2,-y+1/2,z'
'x+1/2,y+1/2,-z'
'y,-x+1/2,z'
'-y,x+1/2,-z'
'x+1/2,-y,-z'
'-x+1/2,y,z'
'-y,-x,-z'
'y,x,z'
'-x,y+1/2,-z'
'x,-y+1/2,z'
'y+1/2,x+1/2,-z'
'-y+1/2,-x+1/2,z'
loop_
_atom_site_label
_atom_site_fract_x
_atom_site_fract_y
_atom_site_fract_z
Ba1 0.250 0.250 0.236
Cd1 0.250 0.750 0.500
Ge1 0.250 0.250 0.895
Rh1 0.250 0.750 0.000
# Spin magnetization ... 0.00 μB/cell
# Formation energy from the elements ... -208 kJ/mol of formula units

# BaCd2GeRh | Alexandria via LeMat-Bulk | PBE-GGA | optimized geometry
data_BaCd2GeRh
_chemical_formula_sum 'Ba1 Cd2 Ge1 Rh1'
_symmetry_space_group_name_H-M 'P 4/m m m'
_symmetry_Int_Tables_number 123
_symmetry_space_group_name_Hall '-P 4 2'
_cell_length_a 5.270
_cell_length_b 5.270
_cell_length_c 4.783
_cell_angle_alpha 90.00
_cell_angle_beta 90.00
_cell_angle_gamma 90.00
loop_
_atom_site_label
_atom_site_fract_x
_atom_site_fract_y
_atom_site_fract_z
Ba1 0.000 0.000 0.000
Cd1 0.000 0.500 0.500
Ge1 0.500 0.500 0.000
Rh1 0.500 0.500 0.500
# Spin magnetization ... 0.00 μB/cell
# Formation energy from the elements ... -163 kJ/mol of formula units

# Ba2CdGeRh | Alexandria via LeMat-Bulk | PBE-GGA | optimized geometry
data_Ba2CdGeRh
_chemical_formula_sum 'Ba2 Cd1 Ge1 Rh1'
_symmetry_space_group_name_H-M 'P 4/m m m'
_symmetry_Int_Tables_number 123
_symmetry_space_group_name_Hall '-P 4 2'
_cell_length_a 6.094
_cell_length_b 6.094
_cell_length_c 4.769
_cell_angle_alpha 90.00
_cell_angle_beta 90.00
_cell_angle_gamma 90.00
loop_
_atom_site_label
_atom_site_fract_x
_atom_site_fract_y
_atom_site_fract_z
Ba1 0.000 0.500 0.000
Cd1 0.000 0.000 0.500
Ge1 0.500 0.500 0.500
Rh1 0.500 0.500 0.000
# Spin magnetization ... 0.00 μB/cell
# Formation energy from the elements ... -166 kJ/mol of formula units

# BaCdGeS4 | Alexandria via LeMat-Bulk | PBE-GGA | optimized geometry
data_BaCdGeS4
_chemical_formula_sum 'Ba32 Cd32 Ge32 S128'
_symmetry_space_group_name_H-M 'F d d 2'
_symmetry_Int_Tables_number 43
_symmetry_space_group_name_Hall 'F 2 -2d'
_cell_length_a 21.611
_cell_length_b 22.204
_cell_length_c 12.927
_cell_angle_alpha 90.00
_cell_angle_beta 90.00
_cell_angle_gamma 90.00
loop_
_atom_site_label
_atom_site_fract_x
_atom_site_fract_y
_atom_site_fract_z
Ba1 0.000 0.000 0.000
Ba2 0.000 0.000 0.489
Ba3 0.004 0.248 0.994
Cd1 0.076 0.375 0.278
Cd2 0.111 0.376 0.748
Ge1 0.068 0.125 0.206
Ge2 0.110 0.125 0.747
S1 0.024 0.375 0.622
S2 0.034 0.124 0.863
S3 0.044 0.126 0.374
S4 0.051 0.375 0.090
S5 0.115 0.045 0.640
S6 0.115 0.206 0.642
S7 0.118 0.044 0.144
S8 0.118 0.205 0.142
# ΔE to the lowest computed polymorph ... 0 meV/atom
# Spin magnetization ... 0.00 μB/cell

# BaCdGeS4 | Alexandria via LeMat-Bulk | PBE-GGA | optimized geometry
data_BaCdGeS4
_chemical_formula_sum 'Ba2 Cd2 Ge2 S8'
_symmetry_space_group_name_H-M 'P 1 21/m 1'
_symmetry_Int_Tables_number 11
_cell_length_a 6.384
_cell_length_b 7.040
_cell_length_c 8.424
_cell_angle_alpha 90.00
_cell_angle_beta 104.57
_cell_angle_gamma 90.00
loop_
_symmetry_equiv_pos_as_xyz
'x,y,z'
'-x,-y,-z'
'-x,y+1/2,-z'
'x,-y+1/2,z'
loop_
_atom_site_label
_atom_site_fract_x
_atom_site_fract_y
_atom_site_fract_z
Ba1 0.235 0.250 0.057
Cd1 0.180 0.250 0.523
Ge1 0.232 0.750 0.314
S1 0.015 0.012 0.716
S2 0.340 0.750 0.085
S3 0.466 0.750 0.556
# ΔE to the lowest computed polymorph ... 100 meV/atom
# Spin magnetization ... 0.00 μB/cell

# BaCdGe2S6 | Alexandria via LeMat-Bulk | PBE-GGA | optimized geometry
data_BaCdGe2S6
_chemical_formula_sum 'Ba4 Cd4 Ge8 S24'
_symmetry_space_group_name_H-M 'C 1 2/c 1'
_symmetry_Int_Tables_number 15
_cell_length_a 12.799
_cell_length_b 14.538
_cell_length_c 6.035
_cell_angle_alpha 90.00
_cell_angle_beta 97.99
_cell_angle_gamma 90.00
loop_
_symmetry_equiv_pos_as_xyz
'x,y,z'
'-x,-y,-z'
'-x,y,-z+1/2'
'x,-y,z+1/2'
'x+1/2,y+1/2,z'
'-x+1/2,-y+1/2,-z'
'-x+1/2,y+1/2,-z+1/2'
'x+1/2,-y+1/2,z+1/2'
loop_
_atom_site_label
_atom_site_fract_x
_atom_site_fract_y
_atom_site_fract_z
Ba1 0.000 0.114 0.250
Cd1 0.000 0.357 0.750
Ge1 0.211 0.421 0.210
S1 0.118 0.089 0.759
S2 0.126 0.298 0.068
S3 0.155 0.441 0.554
# VASP energy ... -4.39 eV/atom
# Spin magnetization ... 0.00 μB/cell

# Ba2Cd4SnGe3 | Alexandria via LeMat-Bulk | PBE-GGA | optimized geometry
data_Ba2Cd4SnGe3
_chemical_formula_sum 'Ba2 Cd4 Sn1 Ge3'
_symmetry_space_group_name_H-M 'P -4 m 2'
_symmetry_Int_Tables_number 115
_cell_length_a 4.780
_cell_length_b 4.780
_cell_length_c 11.779
_cell_angle_alpha 90.00
_cell_angle_beta 90.00
_cell_angle_gamma 90.00
loop_
_symmetry_equiv_pos_as_xyz
'x,y,z'
'y,-x,-z'
'-x,-y,z'
'-y,x,-z'
'-x,y,z'
'-y,-x,-z'
'x,-y,z'
'y,x,-z'
loop_
_atom_site_label
_atom_site_fract_x
_atom_site_fract_y
_atom_site_fract_z
Ba1 0.000 0.500 0.244
Cd1 0.000 0.000 0.000
Cd2 0.000 0.500 0.640
Cd3 0.500 0.500 0.000
Sn1 0.000 0.000 0.500
Ge1 0.000 0.500 0.869
Ge2 0.500 0.500 0.500
# Spin magnetization ... 0.00 μB/cell
# Formation energy from the elements ... -339 kJ/mol of formula units

# Ba2Cd3Sn4Ge | Alexandria via LeMat-Bulk | PBE-GGA | optimized geometry
data_Ba2Cd3Sn4Ge
_chemical_formula_sum 'Ba2 Cd3 Sn4 Ge1'
_symmetry_space_group_name_H-M 'P -4 m 2'
_symmetry_Int_Tables_number 115
_cell_length_a 5.096
_cell_length_b 5.096
_cell_length_c 11.545
_cell_angle_alpha 90.00
_cell_angle_beta 90.00
_cell_angle_gamma 90.00
loop_
_symmetry_equiv_pos_as_xyz
'x,y,z'
'y,-x,-z'
'-x,-y,z'
'-y,x,-z'
'-x,y,z'
'-y,-x,-z'
'x,-y,z'
'y,x,-z'
loop_
_atom_site_label
_atom_site_fract_x
_atom_site_fract_y
_atom_site_fract_z
Ba1 0.000 0.500 0.241
Cd1 0.000 0.000 0.000
Cd2 0.000 0.500 0.635
Sn1 0.000 0.000 0.500
Sn2 0.000 0.500 0.880
Sn3 0.500 0.500 0.500
Ge1 0.500 0.500 0.000
# Spin magnetization ... 0.00 μB/cell
# Formation energy from the elements ... -351 kJ/mol of formula units

# Ba2Cd4Sn3Ge | Alexandria via LeMat-Bulk | PBE-GGA | optimized geometry
data_Ba2Cd4Sn3Ge
_chemical_formula_sum 'Ba2 Cd4 Sn3 Ge1'
_symmetry_space_group_name_H-M 'P -4 m 2'
_symmetry_Int_Tables_number 115
_cell_length_a 4.883
_cell_length_b 4.883
_cell_length_c 12.190
_cell_angle_alpha 90.00
_cell_angle_beta 90.00
_cell_angle_gamma 90.00
loop_
_symmetry_equiv_pos_as_xyz
'x,y,z'
'y,-x,-z'
'-x,-y,z'
'-y,x,-z'
'-x,y,z'
'-y,-x,-z'
'x,-y,z'
'y,x,-z'
loop_
_atom_site_label
_atom_site_fract_x
_atom_site_fract_y
_atom_site_fract_z
Ba1 0.000 0.500 0.247
Cd1 0.000 0.000 0.500
Cd2 0.000 0.500 0.871
Cd3 0.500 0.500 0.500
Sn1 0.000 0.000 0.000
Sn2 0.000 0.500 0.638
Ge1 0.500 0.500 0.000
# Spin magnetization ... 0.00 μB/cell
# Formation energy from the elements ... -368 kJ/mol of formula units

# BaSrCdGe | Alexandria via LeMat-Bulk | PBE-GGA | optimized geometry
data_BaSrCdGe
_chemical_formula_sum 'Ba4 Sr4 Cd4 Ge4'
_symmetry_space_group_name_H-M 'F -4 3 m'
_symmetry_Int_Tables_number 216
_symmetry_space_group_name_Hall 'F -4 2 3'
_cell_length_a 8.092
_cell_length_b 8.092
_cell_length_c 8.092
_cell_angle_alpha 90.00
_cell_angle_beta 90.00
_cell_angle_gamma 90.00
loop_
_atom_site_label
_atom_site_fract_x
_atom_site_fract_y
_atom_site_fract_z
Ba1 0.000 0.000 0.000
Sr1 0.000 0.000 0.500
Cd1 0.250 0.250 0.750
Ge1 0.250 0.250 0.250
# Spin magnetization ... 0.00 μB/cell
# Formation energy from the elements ... -164 kJ/mol of formula units

# BaSr2Cd2Ge2 | Alexandria via LeMat-Bulk | PBE-GGA | optimized geometry
data_BaSr2Cd2Ge2
_chemical_formula_sum 'Ba3 Sr6 Cd6 Ge6'
_symmetry_space_group_name_H-M 'R -3 m'
_symmetry_Int_Tables_number 166
_symmetry_space_group_name_Hall '-R 3 2"'
_cell_length_a 4.9120
_cell_length_b 4.9120
_cell_length_c 31.2784
_cell_angle_alpha 90.00
_cell_angle_beta 90.00
_cell_angle_gamma 120.00
loop_
_atom_site_label
_atom_site_fract_x
_atom_site_fract_y
_atom_site_fract_z
Ba1 0.0000 0.0000 0.0000
Sr1 0.0000 0.0000 0.1308
Cd1 0.0000 0.0000 0.4085
Ge1 0.0000 0.0000 0.2526
# Spin magnetization ... 0.00 μB/cell
# Formation energy from the elements ... -246 kJ/mol of formula units

# BaCdTcGe2 | Alexandria via LeMat-Bulk | PBE-GGA | optimized geometry
data_BaCdTcGe2
_chemical_formula_sum 'Ba1 Cd1 Tc1 Ge2'
_symmetry_space_group_name_H-M 'P 4/m m m'
_symmetry_Int_Tables_number 123
_symmetry_space_group_name_Hall '-P 4 2'
_cell_length_a 4.871
_cell_length_b 4.871
_cell_length_c 5.303
_cell_angle_alpha 90.00
_cell_angle_beta 90.00
_cell_angle_gamma 90.00
loop_
_atom_site_label
_atom_site_fract_x
_atom_site_fract_y
_atom_site_fract_z
Ba1 0.000 0.000 0.000
Cd1 0.500 0.500 0.000
Tc1 0.500 0.500 0.500
Ge1 0.000 0.500 0.500
# ΔE to the lowest computed polymorph ... 0 meV/atom
# Spin magnetization ... 0.00 μB/cell
# Formation energy from the elements ... -110 kJ/mol of formula units